The following is a DFT calculation (PBE-GGA) of Be8Re after structural relaxation.

```
Be8Re
1.0
-3.469 3.469 1.649
3.469 -3.469 1.649
3.469 3.469 -1.649
Be Re
8 1
Cartesian
2.400 0.000 0.000 Be
4.539 0.000 0.000 Be
2.225 2.225 0.000 Be
1.244 -1.244 1.649 Be
0.000 2.400 0.000 Be
0.000 4.539 0.000 Be
-1.244 1.244 1.649 Be
1.244 1.244 1.649 Be
0.000 0.000 0.000 Re
```

As for the energy relative to the elements: -0.0139 eV per atom. Its total energy is -42.38 eV per cell. The size of the total moment is 0.0 μB/f.u.